1.
6
Lattice="4.254 0.000 0.000 -2.127 3.591 0.803 0.000 0.581 8.725" Properties=species:S:1:pos:R:3 comment="PrAgF | Alexandria via LeMat-Bulk | GGA-PBE | relaxed" sg=C2/m raw_formation_energy_mev_per_atom=-1708 dft_energy_ev_per_atom=-4.876 pbc="T T T"
Ag 0.000 2.809 4.335
F 0.000 1.935 8.301
Pr 2.127 3.344 7.575
F 2.127 2.237 1.226
Ag 2.127 1.363 5.193
Pr 0.000 0.829 1.953

=====

2.
32
Lattice="-7.388 -5.770 4.607 2.593 -8.829 4.942 -0.900 -2.085 7.785" Properties=species:S:1:pos:R:3 comment="PrAg3F12 | Alexandria via LeMat-Bulk | GGA-PBE | relaxed" sg=R3c raw_formation_energy_mev_per_atom=-1723 dft_energy_ev_per_atom=-3.960 pbc="T T T"
Ag -6.545 -13.627 15.593
F -5.911 -7.599 11.586
Ag -4.847 -8.967 12.520
F -0.762 -6.898 10.510
F -5.142 -8.734 9.312
Pr -0.981 -2.406 7.254
F -2.794 -12.868 11.232
F -3.004 -8.307 5.738
F 0.266 -9.108 5.523
Ag -0.906 -12.887 14.292
Pr -2.928 -8.663 8.136
F -1.924 -10.485 6.890
F -5.823 -12.200 11.287
Ag -0.327 -6.318 7.040
F -4.576 -10.061 7.037
F -3.151 -8.411 11.787
F -0.573 -2.199 4.873
Ag -1.901 -11.402 10.351
F -5.751 -7.366 5.383
F -4.620 -6.815 7.721
F -0.090 -9.395 11.788
F -4.775 -14.767 12.679
F -2.265 -6.349 7.434
F -1.591 -4.240 8.901
F -4.085 -12.644 8.320
F -3.552 -10.493 9.782
F -0.467 -8.099 7.867
F -3.636 -5.757 10.256
Ag -6.322 -7.334 8.563
F -1.116 -9.865 9.385
F -0.335 -4.508 6.232
F -2.754 -3.377 5.915

=====

3.
4
Lattice="4.163 0.000 0.000 2.082 3.605 0.000 2.082 1.202 6.514" Properties=species:S:1:pos:R:3 comment="Pr2AgF | Alexandria via LeMat-Bulk | GGA-PBE | relaxed" sg=R-3m raw_formation_energy_mev_per_atom=-1191 dft_energy_ev_per_atom=-4.762 pbc="T T T"
Ag 4.163 2.404 3.257
Pr 6.245 3.605 5.138
F 0.000 0.000 0.000
Pr 2.082 1.202 1.376

=====

4.
80
Lattice="-7.431 -6.789 6.914 11.434 -0.931 4.186 -3.560 11.673 0.446" Properties=species:S:1:pos:R:3 comment="Pr3Ag5F12 | Alexandria via LeMat-Bulk | GGA-PBE | relaxed" sg=Ia-3d raw_formation_energy_mev_per_atom=-2375 dft_energy_ev_per_atom=-4.927 pbc="T T T"
F 3.873 0.178 7.864
F -2.903 4.463 8.810
Ag -3.716 -3.395 3.457
Pr 1.628 -5.180 9.245
F 3.232 -3.432 9.702
F -2.070 1.775 6.640
Pr -3.121 -0.099 5.535
F 1.916 -1.749 4.294
Ag 0.221 1.976 5.773
Pr 3.469 -0.210 5.320
F 0.633 -0.407 10.168
F 1.648 3.049 7.463
F 4.516 8.245 5.829
Pr 6.406 7.091 4.861
Ag -7.259 5.005 6.099
F 4.001 2.998 8.141
Pr -5.963 -3.139 6.685
F 0.357 1.972 1.423
F -4.350 2.178 5.838
Ag 2.469 1.720 2.545
Ag 2.001 -3.860 5.550
F 8.658 2.674 4.674
F -0.273 7.582 3.914
F 2.511 6.372 6.547
Pr -3.027 4.162 6.225
F -8.215 1.279 6.872
F -4.806 -1.692 4.854
F 5.248 5.644 6.691
F 5.517 -1.148 4.446
F -4.862 -1.056 7.220
Ag -5.869 1.122 7.375
F -3.771 -3.546 8.030
F -1.205 0.903 4.083
Ag 0.000 0.000 0.000
Ag 0.238 -1.297 7.969
F 4.213 7.498 3.516
Ag -0.373 -1.320 3.695
F -2.050 -1.433 7.241
F 5.304 5.008 4.326
F -0.940 -4.925 8.890
F 9.338 0.340 4.368
Ag 7.702 -1.053 5.447
F 2.512 2.177 4.906
F 2.493 5.385 4.305
Ag 5.717 -0.466 2.093
F -5.075 5.100 7.100
Pr -1.731 -3.982 6.811
F 3.345 -0.511 2.736
Ag 0.816 5.272 7.851
F -4.074 -4.293 5.717
Ag 4.470 -2.140 8.095
Ag -1.780 5.836 0.223
F -3.430 3.774 3.682
Pr 2.206 1.389 9.127
F -3.559 0.954 3.405
F -0.191 4.359 1.378
Ag 0.205 5.249 3.577
F 4.147 -2.683 5.775
Ag -2.026 2.232 9.000
F 0.716 -3.629 7.632
Pr 2.173 7.934 4.735
F 4.792 1.775 5.707
F 1.382 8.877 2.656
F 0.086 1.980 10.123
F -2.068 -2.420 4.999
F -3.705 6.635 5.771
Ag 6.312 2.830 4.171
F -8.896 3.612 7.178
Ag -5.496 2.442 3.680
Ag -4.028 6.092 3.451
Pr 3.564 4.051 6.011
Pr -1.185 9.132 2.301
F -1.473 5.702 7.252
F 4.138 -5.708 9.695
F -1.210 3.669 4.711
F -2.790 7.384 1.844
F 1.652 0.283 6.835
F -3.696 9.660 1.850
Pr -1.764 2.564 2.419
Ag 3.937 5.371 2.316

=====

5.
7
Lattice="5.005 0.000 0.000 0.000 5.005 0.000 -2.503 -2.503 7.760" Properties=species:S:1:pos:R:3 comment="Pr4Ag2F | Alexandria via LeMat-Bulk | GGA-PBE | relaxed" sg=I4/mmm raw_formation_energy_mev_per_atom=-749 dft_energy_ev_per_atom=-4.562 pbc="T T T"
Pr 2.503 0.000 0.000
Pr 0.000 0.000 2.944
Ag 0.000 0.000 5.837
F 0.000 0.000 0.000
Ag 2.503 2.503 1.923
Pr 2.503 2.503 4.816
Pr 0.000 2.503 0.000

=====

6.
8
Lattice="4.265 0.000 0.000 0.000 4.265 0.000 0.000 0.000 9.371" Properties=species:S:1:pos:R:3 comment="PrAgSbF | Alexandria via LeMat-Bulk | GGA-PBE | relaxed" sg=P4/nmm raw_formation_energy_mev_per_atom=-1701 dft_energy_ev_per_atom=-5.107 pbc="T T T"
Sb 0.000 2.132 2.751
Sb 2.132 0.000 6.620
Ag 0.000 0.000 4.686
Ag 2.132 2.132 4.686
F 0.000 0.000 0.000
Pr 0.000 2.132 7.834
F 2.132 2.132 0.000
Pr 2.132 0.000 1.537

=====

7.
20
Lattice="6.544 0.000 0.051 0.000 6.797 0.000 0.139 0.000 9.136" Properties=species:S:1:pos:R:3 comment="PrTl2AgF6 | Alexandria via LeMat-Bulk | GGA-PBE | relaxed" sg=P2_1/c raw_formation_energy_mev_per_atom=-2486 dft_energy_ev_per_atom=-4.845 pbc="T T T"
Pr 0.000 3.398 0.000
Ag 3.272 0.000 0.025
F 0.757 3.167 6.907
F 1.178 1.466 0.492
F 5.255 5.559 5.024
Ag 0.070 3.398 4.568
F 4.520 1.933 5.085
Pr 3.342 0.000 4.593
Tl 3.212 3.096 2.311
F 3.960 0.231 2.364
Tl 0.130 6.495 2.283
F 1.428 1.237 4.162
Tl 3.471 3.701 6.876
F 5.505 5.331 8.694
F 4.770 2.161 8.755
F 2.164 4.864 4.101
F 2.724 6.566 6.822
F 1.913 4.636 0.431
F 5.926 3.630 2.280
Tl 6.553 0.302 6.904

=====

8.
16
Lattice="5.257 0.013 0.028 2.615 4.561 0.023 2.564 1.497 9.957" Properties=species:S:1:pos:R:3 comment="AgPtF6 | Alexandria via LeMat-Bulk | GGA-PBE | relaxed" sg=P-1 raw_formation_energy_mev_per_atom=-1289 dft_energy_ev_per_atom=-3.804 polymorph_energy_mev_per_atom=0 pbc="T T T"
F 4.163 4.570 6.347
F 6.273 1.500 3.661
F 7.023 2.920 1.390
F 6.232 4.456 8.638
F 5.944 1.357 8.630
F 3.413 3.151 8.618
F 4.204 1.615 1.370
F 7.084 3.110 6.361
F 3.352 2.961 3.646
F 6.063 4.771 3.665
Pt 2.613 1.556 2.501
F 4.373 1.300 6.342
Ag 0.000 0.000 0.000
Pt 7.823 4.514 7.506
Ag 5.218 3.035 5.004
F 4.492 4.714 1.378